First-principles (GGA+U) data for a geometry-optimized HoCoNO structure, as listed in the Open Quantum Materials Database.

## Properties
* calculated volume: 96.0 Å³ per cell
* polymorph energy (0 for the lowest one): 0.0651 eV/atom
* symmetry: P4/nmm
* spin magnetization: 1.00 μB per formula unit
* mass density: 8.78 g cm⁻³

a b c (Å): 3.697 3.697 7.023
angles (deg): 90.00 90.00 90.00
Fractional coordinates of all 8 atoms:
Co  0.250  0.750  0.500
Co  0.750  0.250  0.500
O  0.250  0.750  0.000
O  0.750  0.250  0.000
N  0.250  0.250  0.588
N  0.750  0.750  0.412
Ho  0.250  0.250  0.164
Ho  0.750  0.750  0.836